# 1
A relaxed SrTb4Ag5 crystal, computed with PBE.

Structure (extended XYZ):
```
10
Lattice="3.679 0.000 0.000 0.000 3.679 0.000 0.000 0.000 18.767" Properties=species:S:1:pos:R:3 pbc="T T T"
Sr 0.000 0.000 0.000
Tb 0.000 0.000 3.893
Tb 0.000 0.000 7.565
Tb 0.000 0.000 11.203
Tb 0.000 0.000 14.874
Ag 1.840 1.840 2.224
Ag 1.840 1.840 5.720
Ag 1.840 1.840 9.384
Ag 1.840 1.840 13.047
Ag 1.840 1.840 16.544
```

Summary:
Energy relative to the elements in meV/atom: -299
Density in g/cm³: 8.3


# 2
A relaxed Ba3ScS crystal, computed with PBE.

Structure (extended XYZ):
```
5
Lattice="-2.497 2.411 5.093 -3.763 -4.859 0.455 4.194 -2.925 3.441" Properties=species:S:1:pos:R:3 pbc="T T T"
Sc -1.033 -2.687 4.494
S 0.000 0.000 0.000
Ba -1.882 -2.430 0.228
Ba 2.097 -1.463 1.720
Ba -1.248 1.205 2.546
```

Summary:
Density in g/cm³: 3.5
Energy relative to the lowest polymorph listed for this composition in meV per atom: 0.0
Energy relative to the elements, uncorrected in eV/f.u.: -2.30


# 3
A relaxed ZrBeCr2 crystal, computed with PBE.

Structure (extended XYZ):
```
8
Lattice="-3.078 0.446 -6.079 5.978 -1.110 -3.109 1.028 -2.713 -4.555" Properties=species:S:1:pos:R:3 pbc="T T T"
Cr -0.768 -0.560 -5.028
Cr 3.457 -1.294 -4.140
Cr 2.152 -2.338 -7.014
Cr 3.014 -2.560 -11.302
Zr 0.000 0.000 0.000
Zr -0.300 -1.299 -7.614
Be 1.450 -0.332 -4.594
Be 4.228 -2.077 -6.129
```

Summary:
Energy relative to the elements in meV/atom: 623
Density in g/cm³: 6.0


# 4
A relaxed Pm2Nd4HoEr2 crystal, computed with PBE.

Structure (extended XYZ):
```
9
Lattice="-5.025 1.007 0.187 0.977 -7.964 -1.180 0.571 1.379 7.924" Properties=species:S:1:pos:R:3 pbc="T T T"
Pm -3.516 -4.836 1.865
Pm 0.040 -0.743 5.065
Nd -2.984 -2.724 4.798
Nd -0.493 -2.855 2.132
Nd -2.492 0.141 2.591
Nd -0.985 -5.720 4.340
Ho 0.000 0.000 0.000
Er -1.023 -4.970 -0.722
Er -2.454 -0.609 7.652
```

Summary:
Energy relative to the elements in meV/atom: 22
Density in g/cm³: 7.5


# 5
A relaxed Hg3AsAu crystal, computed with PBE.

Structure (extended XYZ):
```
5
Lattice="-4.484 -1.238 2.634 0.842 -5.183 -1.003 2.786 -0.426 4.542" Properties=species:S:1:pos:R:3 pbc="T T T"
As 0.000 0.000 0.000
Au -0.428 -3.424 3.087
Hg 0.421 -2.592 -0.501
Hg 1.393 -0.213 2.271
Hg -2.242 -0.619 1.317
```

Summary:
Energy relative to the elements in meV/atom: 369
Density in g/cm³: 9.5
Energy relative to the lowest polymorph listed for this composition in meV per atom: 0.0


# 6
A relaxed BaNaCdAu2 crystal, computed with PBE.

Structure (extended XYZ):
```
5
Lattice="4.535 0.000 0.000 0.000 4.535 0.000 -2.267 -2.267 6.652" Properties=species:S:1:pos:R:3 pbc="T T T"
Ba 0.000 0.000 0.000
Na 0.000 2.267 3.326
Cd 2.267 0.000 3.326
Au 2.267 2.267 1.415
Au 0.000 0.000 5.237
```

Summary:
Energy relative to the elements in meV/atom: -505
Density in g/cm³: 8.1


> What is the density in the second record?

3.5 g/cm³